ScCoTe | GGA-PBEsol | relaxed

Properties
The volume is 17.95 A^3/atom. The calculated total energy is -6.218 eV/atom.

Lattice parameters (Å, degrees): 3.6100 3.6100 8.2648 90.00 90.00 90.00
Space group I4mm (No. 107)
Symmetry-distinct sites (fractional):
Sc1 0.0000 0.0000 0.0000
Co1 0.0000 0.0000 0.3604
Te1 0.0000 0.0000 0.6691